# 1
Computed, not measured: a relaxed NbSnIr2 crystal at the GGA-PBE level of DFT.

The total moment is 0.0 μB/f.u. The density of states at the Fermi level is 0.7945 states/eV per atom. As for the uncorrected energy: -7.53 eV per atom. The formation energy is 1.67 eV/f.u.

The space group is I-42d (No. 122) and the conventional cell measures 5.9112, 5.9112 and 11.5433 Å, with angles of 90.00, 90.00 and 90.00 degrees. The inequivalent atoms are Nb at (0.0000, 0.0000, 0.0000), Sn at (0.0000, 0.0000, 0.5000) and Ir at (0.2345, 0.2500, 0.1250).

=====

# 2
Computed, not measured: a relaxed NbSn2Ir crystal at the GGA-PBE level of DFT.

The total moment is 1.1 μB/f.u. The density of states at the Fermi level is 1.3242 states/eV per atom. As for the uncorrected energy: -6.62 eV per atom. The formation energy is 0.45 eV/f.u.

The space group is Fm-3m (No. 225) and the conventional cell measures 6.6998, 6.6998 and 6.6998 Å, with angles of 90.00, 90.00 and 90.00 degrees. The inequivalent atoms are Nb at (0.0000, 0.0000, 0.0000), Sn at (0.2500, 0.2500, 0.2500) and Ir at (0.0000, 0.0000, 0.5000).

=====

Number 1 is which compound?
NbSnIr2